This record from Alexandria via LeMat-Bulk describes a geometry-optimized YTl2 structure. The functional is PBE.

## Properties
Its size of the total moment is 0.00 μB per cell. The total energy is -3.959 eV/atom. The formation energy is -0.2269 eV/atom. Its density of states at the Fermi level is 2.189 states/eV per cell. Its symmetry is Cmcm.

a = 8.384 Å, b = 8.384 Å, c = 4.200 Å
α = 90.00°, β = 90.00°, γ = 145.42°
Atoms (fractional coordinates):
1 Tl 0.426 0.574 0.250
2 Tl 0.574 0.426 0.750
3 Tl 0.264 0.736 0.750
4 Tl 0.736 0.264 0.250
5 Y 0.909 0.091 0.750
6 Y 0.091 0.909 0.250